## i
DFT (PBE) results for a relaxed structure of Zr2TlS4.

Space-group type ... C2/m
Total moment ... 0.00 μB per cell

abc: 3.6600 6.3253 8.8143
angles: 111.36 101.98 90.00
Positions (direct):
Zr 0.2471 0.2448 0.4942
Zr 0.7529 0.7552 0.5058
Tl 0.5000 0.5000 0.0000
S 0.6543 0.9836 0.3086
S 0.3457 0.0164 0.6914
S 0.1564 0.4916 0.3128
S 0.8436 0.5084 0.6872

## ii
DFT (PBE) results for a relaxed structure of Zr2TlS4.

Space-group type ... Cmcm
Total moment ... 0.00 μB per cell

abc: 3.7817 6.6118 13.1984
angles: 90.00 90.00 106.62
Positions (direct):
Zr 0.1313 0.2626 0.4365
Zr 0.8687 0.7374 0.9365
Zr 0.1313 0.2626 0.0635
Zr 0.8687 0.7374 0.5635
Tl 0.6038 0.2076 0.7500
Tl 0.3962 0.7924 0.2500
S 0.7668 0.5336 0.1068
S 0.7668 0.5336 0.3932
S 0.2332 0.4664 0.8932
S 0.2332 0.4664 0.6068
S 0.9159 0.8318 0.7500
S 0.0841 0.1682 0.2500
S 0.5000 0.0000 0.0000
S 0.5000 0.0000 0.5000

Short version: ii is the least stable of them.

## i
DFT (PBE) results for a relaxed structure of ZrTlS4.

Space-group type ... C2/m
Total moment ... 0.00 μB per cell

abc: 5.0612 9.0039 8.7756
angles: 76.71 90.00 106.32
Positions (direct):
Zr 0.2325 0.4649 0.3286
Zr 0.7675 0.5351 0.6714
Tl 0.0851 0.1702 0.7906
Tl 0.9149 0.8298 0.2094
S 0.0738 0.1477 0.3772
S 0.1363 0.2725 0.1501
S 0.7351 0.4701 0.3923
S 0.6532 0.3064 0.8872
S 0.3468 0.6936 0.1128
S 0.2649 0.5299 0.6077
S 0.8637 0.7275 0.8499
S 0.9262 0.8523 0.6228

## ii
DFT (PBE) results for a relaxed structure of ZrTlS4.

Space-group type ... C2/c
Total moment ... 0.00 μB per cell

abc: 6.6520 8.4943 7.8686
angles: 120.76 112.74 93.84
Positions (direct):
Zr 0.2504 0.0004 0.0008
Zr 0.7496 0.9996 0.9992
Tl 0.3976 0.6476 0.2953
Tl 0.6024 0.3524 0.7047
S 0.9942 0.2127 0.9460
S 0.8477 0.7120 0.7150
S 0.4518 0.7333 0.9460
S 0.3674 0.0030 0.7150
S 0.6326 0.9970 0.2850
S 0.5482 0.2667 0.0540
S 0.1523 0.2880 0.2850
S 0.0058 0.7873 0.0540

Short version: i is the least stable of them.

## i
DFT (PBE) results for a relaxed structure of ZrTl4S4.

Space-group type ... P-1
Total moment ... 0.00 μB per cell

abc: 9.2704 9.2731 15.8169
angles: 104.09 104.73 89.89
Positions (direct):
Zr 0.9856 0.3184 0.4010
Zr 0.0144 0.6816 0.5990
Zr 0.8249 0.6879 0.8006
Zr 0.1751 0.3121 0.1994
Zr 0.0000 0.5000 0.0000
Tl 0.9621 0.9263 0.2011
Tl 0.0379 0.0737 0.7989
Tl 0.7900 0.2832 0.5990
Tl 0.2100 0.7168 0.4010
Tl 0.7873 0.9143 0.4031
Tl 0.2127 0.0857 0.5969
Tl 0.7809 0.5455 0.2037
Tl 0.2191 0.4545 0.7963
Tl 0.6255 0.8992 0.6126
Tl 0.3745 0.1008 0.3874
Tl 0.6164 0.2994 0.8101
Tl 0.3836 0.7006 0.1899
Tl 0.5891 0.5290 0.4023
Tl 0.4109 0.4710 0.5977
Tl 0.4162 0.8879 0.7981
Tl 0.5838 0.1121 0.2019
Tl 0.3898 0.2875 0.0037
Tl 0.6102 0.7125 0.9963
Tl 0.2168 0.8945 0.9911
Tl 0.7832 0.1055 0.0089
S 0.9343 0.9446 0.5957
S 0.0657 0.0554 0.4043
S 0.9282 0.6024 0.4227
S 0.0718 0.3976 0.5773
S 0.9237 0.7629 0.9784
S 0.0763 0.2371 0.0216
S 0.9134 0.4198 0.8230
S 0.0866 0.5802 0.1770
S 0.7565 0.9547 0.8073
S 0.2435 0.0453 0.1927
S 0.7510 0.6123 0.6239
S 0.2490 0.3877 0.3761
S 0.5601 0.6125 0.8004
S 0.4399 0.3875 0.1996
S 0.2810 0.7553 0.6037
S 0.7190 0.2447 0.3963
S 0.2685 0.5726 0.9963
S 0.7315 0.4274 0.0037
S 0.0906 0.7365 0.7756
S 0.9094 0.2635 0.2244

## ii
DFT (PBE) results for a relaxed structure of ZrTl4S4.

Space-group type ... C2/m
Total moment ... 0.00 μB per cell

abc: 3.9012 7.4826 9.2851
angles: 78.14 77.87 74.89
Positions (direct):
Zr 0.5000 0.0000 0.0000
Tl 0.6988 0.3775 0.2250
Tl 0.9146 0.7794 0.3914
Tl 0.3012 0.6225 0.7750
Tl 0.0854 0.2206 0.6086
S 0.3343 0.0571 0.2743
S 0.6657 0.9429 0.7257
S 0.9075 0.2452 0.9398
S 0.0925 0.7548 0.0602

Short version: ii is the least stable of them.

## i
DFT (PBE) results for a relaxed structure of TmS4.

Space-group type ... Pm-3m
Total moment ... 5.04 μB per cell

abc: 5.2591 5.2591 5.2591
angles: 90.00 90.00 90.00
Positions (direct):
S 0.0000 0.0000 0.0000
S 0.5000 0.0000 0.5000
S 0.0000 0.5000 0.5000
S 0.5000 0.5000 0.0000
Tm 0.5000 0.5000 0.5000

## ii
DFT (PBE) results for a relaxed structure of TmS4.

Space-group type ... P-1
Total moment ... 0.00 μB per cell

abc: 5.1315 4.0619 5.3593
angles: 92.41 75.26 83.11
Positions (direct):
Tm 0.0000 0.0000 0.0000
S 0.1330 0.1684 0.4668
S 0.8670 0.8316 0.5332
S 0.6132 0.5511 0.1329
S 0.3868 0.4489 0.8671

Short version: i is the least stable of them.

## i
DFT (PBE) results for a relaxed structure of TmU6S8.

Space-group type ... Fm-3m
Total moment ... 13.35 μB per cell

abc: 7.7066 7.7066 7.7066
angles: 60.00 60.00 60.00
Positions (direct):
Tm 0.0000 0.0000 0.0000
U 0.0000 0.5000 0.5000
U 0.5000 0.0000 0.0000
U 0.5000 0.5000 0.0000
U 0.0000 0.0000 0.5000
U 0.0000 0.5000 0.0000
U 0.5000 0.0000 0.5000
S 0.7500 0.7500 0.7500
S 0.2500 0.2500 0.2500
S 0.7487 0.2513 0.2513
S 0.2513 0.7487 0.7487
S 0.2513 0.2513 0.7487
S 0.7487 0.7487 0.2513
S 0.7487 0.2513 0.7487
S 0.2513 0.7487 0.2513

## ii
DFT (PBE) results for a relaxed structure of TmU6S8.

Space-group type ... R-3
Total moment ... 5.40 μB per cell

abc: 7.0930 7.0930 7.0930
angles: 72.54 72.54 72.54
Positions (direct):
Tm 0.0000 0.0000 0.0000
U 0.5283 0.3580 0.9220
U 0.3580 0.9220 0.5283
U 0.9220 0.5283 0.3580
U 0.4717 0.6420 0.0780
U 0.6420 0.0780 0.4717
U 0.0780 0.4717 0.6420
S 0.6822 0.6822 0.6822
S 0.3178 0.3178 0.3178
S 0.6533 0.8796 0.1749
S 0.8796 0.1749 0.6533
S 0.1749 0.6533 0.8796
S 0.3467 0.1204 0.8251
S 0.1204 0.8251 0.3467
S 0.8251 0.3467 0.1204

Short version: ii is the least stable of them.

## i
DFT (PBE) results for a relaxed structure of YTm2S4.

Space-group type ... Imma
Total moment ... 0.00 μB per cell

abc: 7.8079 7.7250 7.7250
angles: 60.40 59.64 59.64
Positions (direct):
Y 0.5000 0.5000 0.0000
Y 0.0000 0.5000 0.0000
Tm 0.0000 0.0000 0.0000
Tm 0.0000 0.0000 0.5000
Tm 0.0000 0.5000 0.5000
Tm 0.5000 0.0000 0.5000
S 0.2511 0.2449 0.2529
S 0.7489 0.2471 0.2551
S 0.2511 0.7529 0.7449
S 0.7489 0.7551 0.7471
S 0.7583 0.7519 0.2519
S 0.7621 0.2481 0.7481
S 0.2379 0.7519 0.2519
S 0.2417 0.2481 0.7481

## ii
DFT (PBE) results for a relaxed structure of YTm2S4.

Space-group type ... Cmcm
Total moment ... 0.00 μB per cell

abc: 3.7764 6.6471 13.0103
angles: 90.00 90.00 106.50
Positions (direct):
Y 0.6261 0.2522 0.7500
Y 0.3739 0.7478 0.2500
Tm 0.1298 0.2597 0.4307
Tm 0.8702 0.7403 0.9307
Tm 0.1298 0.2597 0.0693
Tm 0.8702 0.7403 0.5693
S 0.7749 0.5497 0.1208
S 0.7749 0.5497 0.3792
S 0.2251 0.4503 0.8792
S 0.2251 0.4503 0.6208
S 0.9686 0.9372 0.7500
S 0.0314 0.0628 0.2500
S 0.5000 0.0000 0.0000
S 0.5000 0.0000 0.5000

Short version: ii is the least stable of them.

## i
DFT (PBE) results for a relaxed structure of Y2TmS.

Space-group type ... R3m
Total moment ... 0.51 μB per cell

abc: 3.7351 3.7357 9.3618
angles: 78.48 78.49 60.01
Positions (direct):
Y 0.0621 0.0620 0.8142
Y 0.2718 0.2714 0.1846
Tm 0.4992 0.5001 0.5013
S 0.6668 0.6665 0.9998

## ii
DFT (PBE) results for a relaxed structure of Y2TmS.

Space-group type ... R-3m
Total moment ... 0.00 μB per cell

abc: 3.6667 3.6667 10.1265
angles: 79.57 79.57 60.00
Positions (direct):
Y 0.1114 0.1114 0.6659
Y 0.8886 0.8886 0.3341
S 0.5000 0.5000 0.5000
Tm 0.0000 0.0000 0.0000

Short version: ii is the least stable of them.

## i
DFT (PBE) results for a relaxed structure of Y2TmS4.

Space-group type ... Imma
Total moment ... 0.00 μB per cell

abc: 7.8028 7.7491 7.7491
angles: 60.72 59.77 59.77
Positions (direct):
Y 0.0000 0.0000 0.0000
Y 0.0000 0.0000 0.5000
Y 0.0000 0.5000 0.5000
Y 0.5000 0.0000 0.5000
Tm 0.5000 0.5000 0.0000
Tm 0.0000 0.5000 0.0000
S 0.2535 0.2506 0.2424
S 0.7465 0.2576 0.2494
S 0.2535 0.7424 0.7506
S 0.7465 0.7494 0.7576
S 0.7579 0.7481 0.2481
S 0.7540 0.2519 0.7519
S 0.2460 0.7481 0.2481
S 0.2421 0.2519 0.7519

## ii
DFT (PBE) results for a relaxed structure of Y2TmS4.

Space-group type ... Cmcm
Total moment ... 0.00 μB per cell

abc: 3.7777 6.7321 13.1073
angles: 90.00 90.00 106.29
Positions (direct):
Y 0.1294 0.2588 0.4296
Y 0.8706 0.7412 0.9296
Y 0.1294 0.2588 0.0704
Y 0.8706 0.7412 0.5704
Tm 0.6275 0.2551 0.7500
Tm 0.3725 0.7449 0.2500
S 0.7779 0.5558 0.1240
S 0.7779 0.5558 0.3760
S 0.2221 0.4442 0.8760
S 0.2221 0.4442 0.6240
S 0.9770 0.9540 0.7500
S 0.0230 0.0460 0.2500
S 0.5000 0.0000 0.0000
S 0.5000 0.0000 0.5000

Short version: ii is the least stable of them.

## i
DFT (PBE) results for a relaxed structure of YTm3S6.

Space-group type ... P2_1/m
Total moment ... 0.00 μB per cell

abc: 3.9077 10.9272 11.1887
angles: 108.84 90.00 90.00
Positions (direct):
Y 0.7500 0.0450 0.6918
Y 0.2500 0.9550 0.3082
Tm 0.7500 0.4349 0.8321
Tm 0.2500 0.5651 0.1679
Tm 0.7500 0.6818 0.5024
Tm 0.2500 0.3182 0.4976
Tm 0.7500 0.1607 0.0846
Tm 0.2500 0.8393 0.9154
S 0.7500 0.4774 0.6127
S 0.2500 0.5226 0.3873
S 0.7500 0.9181 0.0965
S 0.2500 0.0819 0.9035
S 0.7500 0.3969 0.0621
S 0.2500 0.6031 0.9379
S 0.7500 0.7424 0.2753
S 0.2500 0.2576 0.7247
S 0.7500 0.1131 0.4634
S 0.2500 0.8869 0.5366
S 0.7500 0.8066 0.7506
S 0.2500 0.1934 0.2494

## ii
DFT (PBE) results for a relaxed structure of YTm3S6.

Space-group type ... R-3
Total moment ... 0.00 μB per cell

abc: 7.9577 7.9577 7.9577
angles: 90.98 90.98 90.98
Positions (direct):
Y 0.0000 0.0000 0.0000
Y 0.5000 0.5000 0.5000
Tm 0.4332 0.9234 0.7532
Tm 0.9234 0.7532 0.4332
Tm 0.2468 0.5668 0.0766
Tm 0.7532 0.4332 0.9234
Tm 0.0766 0.2468 0.5668
Tm 0.5668 0.0766 0.2468
S 0.3182 0.9067 0.0830
S 0.0933 0.9170 0.6818
S 0.5970 0.8220 0.4654
S 0.9170 0.6818 0.0933
S 0.4654 0.5970 0.8220
S 0.1780 0.5346 0.4030
S 0.8220 0.4654 0.5970
S 0.5346 0.4030 0.1780
S 0.0830 0.3182 0.9067
S 0.4030 0.1780 0.5346
S 0.9067 0.0830 0.3182
S 0.6818 0.0933 0.9170

Short version: ii is the least stable of them.

## i
DFT (PBE) results for a relaxed structure of US4.

Space-group type ... Pm-3m
Total moment ... 1.98 μB per cell

abc: 5.1002 5.1002 5.1002
angles: 90.00 90.00 90.00
Positions (direct):
S 0.0000 0.0000 0.0000
S 0.5000 0.0000 0.5000
S 0.0000 0.5000 0.5000
S 0.5000 0.5000 0.0000
U 0.5000 0.5000 0.5000

## ii
DFT (PBE) results for a relaxed structure of US4.

Space-group type ... C2/m
Total moment ... 1.33 μB per cell

abc: 4.3522 4.3522 7.0105
angles: 96.85 96.85 60.73
Positions (direct):
U 0.0000 0.0000 0.0000
S 0.0950 0.0950 0.4166
S 0.9050 0.9050 0.5834
S 0.6864 0.6864 0.1400
S 0.3136 0.3136 0.8600

Short version: i is the least stable of them.